Record 1
{
  "formula": "KRh2Au2",
  "functional": "PBE",
  "state": "optimized geometry",
  "ef_ev_per_atom": 0.17,
  "sg": "No. 127",
  "lattice": [[8.312, 0.000, 0.000], [0.000, 8.312, 0.000], [0.000, 0.000, 2.772]],
  "species": ["K", "K", "Rh", "Rh", "Rh", "Rh", "Au", "Au", "Au", "Au"],
  "fractional_positions": [[0.000, 0.000, 0.000], [0.500, 0.500, 0.000], [0.111, 0.389, 0.000], [0.389, 0.889, 0.000], [0.611, 0.111, 0.000], [0.889, 0.611, 0.000], [0.184, 0.684, 0.500], [0.316, 0.184, 0.500], [0.684, 0.816, 0.500], [0.816, 0.316, 0.500]]
}

***

Record 2
{
  "formula": "KRh4Au",
  "functional": "PBE",
  "state": "optimized geometry",
  "ef_ev_per_atom": 0.53,
  "sg": "No. 216",
  "lattice": [[0.000, 3.762, 3.762], [3.762, 0.000, 3.762], [3.762, 3.762, 0.000]],
  "species": ["K", "Rh", "Rh", "Rh", "Rh", "Au"],
  "fractional_positions": [[0.000, 0.000, 0.000], [0.127, 0.624, 0.624], [0.624, 0.127, 0.624], [0.624, 0.624, 0.127], [0.624, 0.624, 0.624], [0.250, 0.250, 0.250]]
}

***

Record 3
{
  "formula": "KRh2Au",
  "functional": "PBE",
  "state": "optimized geometry",
  "ef_ev_per_atom": 0.60,
  "sg": "No. 65",
  "lattice": [[1.475, -2.397, 0.000], [1.475, 2.397, 0.000], [0.000, 0.000, 10.273]],
  "species": ["K", "Rh", "Rh", "Au"],
  "fractional_positions": [[0.000, 0.000, 0.000], [0.500, 0.500, 0.270], [0.500, 0.500, 0.730], [0.000, 0.000, 0.500]]
}

***

Record 4
{
  "formula": "K4RhAu",
  "functional": "PBE",
  "state": "optimized geometry",
  "ef_ev_per_atom": 0.71,
  "sg": "No. 216",
  "lattice": [[0.000, 4.568, 4.568], [4.568, 0.000, 4.568], [4.568, 4.568, 0.000]],
  "species": ["K", "K", "K", "K", "Rh", "Au"],
  "fractional_positions": [[0.125, 0.125, 0.125], [0.125, 0.125, 0.624], [0.125, 0.624, 0.125], [0.624, 0.125, 0.125], [0.750, 0.750, 0.750], [0.500, 0.500, 0.500]]
}

***

Record 5
{
  "formula": "KRh2Au",
  "functional": "PBE",
  "state": "optimized geometry",
  "ef_ev_per_atom": 0.50,
  "sg": "No. 44",
  "lattice": [[-1.399, 2.623, 5.333], [1.399, -2.623, 5.333], [1.399, 2.623, -5.333]],
  "species": ["K", "Rh", "Rh", "Au"],
  "fractional_positions": [[0.000, 0.000, 0.000], [0.517, 0.517, 0.000], [0.717, 0.217, 0.500], [0.286, 0.786, 0.500]]
}

***

Record 6
{
  "formula": "KRh2Au",
  "functional": "PBE",
  "state": "optimized geometry",
  "ef_ev_per_atom": 0.58,
  "sg": "No. 166",
  "lattice": [[1.431, 0.826, 10.251], [-1.431, 0.826, 10.251], [0.000, -1.653, 10.251]],
  "species": ["K", "Rh", "Rh", "Au"],
  "fractional_positions": [[0.000, 0.000, 0.000], [0.242, 0.242, 0.242], [0.758, 0.758, 0.758], [0.500, 0.500, 0.500]]
}

***

Record 7
{
  "formula": "KRhAu2",
  "functional": "PBE",
  "state": "optimized geometry",
  "ef_ev_per_atom": 0.25,
  "sg": "No. 25",
  "lattice": [[2.785, 0.000, 0.000], [0.000, 4.584, 0.000], [0.000, 0.000, 7.240]],
  "species": ["K", "Rh", "Au", "Au"],
  "fractional_positions": [[0.000, 0.000, 0.000], [0.500, 0.500, 0.358], [0.000, 0.000, 0.434], [0.500, 0.500, 0.728]]
}

***

Record 8
{
  "formula": "KRh2Au",
  "functional": "PBE",
  "state": "optimized geometry",
  "ef_ev_per_atom": 0.80,
  "sg": "No. 225",
  "lattice": [[0.000, 3.334, 3.334], [3.334, 0.000, 3.334], [3.334, 3.334, 0.000]],
  "species": ["K", "Rh", "Rh", "Au"],
  "fractional_positions": [[0.000, 0.000, 0.000], [0.250, 0.250, 0.250], [0.750, 0.750, 0.750], [0.500, 0.500, 0.500]]
}

***

no.,size of the total moment (Bohr magnetons per cell)
1,0.8
2,2.9
3,1.1
4,0.0
5,1.1
6,1.5
7,0.6
8,1.8